This record from Alexandria describes a relaxed structure of MoAsBr2. The functional is PBE-GGA.

Summary:
E above lowest polymorph ... 2.73 eV per formula unit
Uncorrected formation energy ... 508 meV/atom
DOS(E_F) ... 5.9 states/eV per cell
Symmetry ... Cmmm
Final energy ... -33.59 eV/cell
V ... 26.9 A^3/atom

abc: 3.0534 5.8631 12.0235
angles: 90.00 90.00 90.00
With the nearest neighbours (Å) after each atom.
Atoms (fractional coordinates):
Mo  0.0000  0.0000  0.0000  4 Br 2.57
Mo  0.5000  0.5000  0.0000  4 Br 2.57
As  0.0000  0.0000  0.5000  6 As 3.05-3.31
As  0.5000  0.5000  0.5000  6 As 3.05-3.31
Br  0.0000  0.5000  0.1715  2 Mo 2.57
Br  0.0000  0.5000  0.8285  2 Mo 2.57
Br  0.5000  0.0000  0.1715  2 Mo 2.57
Br  0.5000  0.0000  0.8285  2 Mo 2.57